[1]
Density functional theory data (GGA-PBE) for GdAgGeSe2S after structural relaxation.

POSCAR file:
```
GdAgGeSe2S
1.0
2.006 -6.594 0.000
2.006 6.594 0.000
0.000 0.000 10.396
Gd Ag Ge Se S
2 2 2 4 2
direct
0.000 0.000 0.000
0.000 0.000 0.500
0.480 0.520 0.750
0.520 0.480 0.250
0.248 0.752 0.250
0.752 0.248 0.750
0.348 0.652 0.564
0.348 0.652 0.936
0.652 0.348 0.064
0.652 0.348 0.436
0.101 0.899 0.750
0.899 0.101 0.250
```

The total energy is -4.631 eV per atom. Its space group is Cmcm, No. 63. The calculation puts the theoretical density at 6.37 g/cm³.

---

[2]
Density functional theory data (GGA-PBE) for SrTaNO2 after structural relaxation.

POSCAR file:
```
SrTaNO2
1.0
5.739 0.000 0.000
0.000 7.924 0.000
-0.005 0.000 5.756
Sr Ta N O
4 4 4 8
direct
0.000 0.000 0.000
0.005 0.500 0.004
0.500 0.500 0.535
0.505 0.000 0.530
0.006 0.251 0.500
0.006 0.749 0.500
0.506 0.249 0.035
0.506 0.751 0.035
0.252 0.277 0.270
0.252 0.723 0.270
0.752 0.221 0.265
0.752 0.779 0.265
0.053 0.000 0.540
0.242 0.279 0.772
0.242 0.721 0.772
0.444 0.000 0.997
0.553 0.500 0.998
0.742 0.223 0.763
0.742 0.777 0.763
0.944 0.500 0.535
```

The total energy is -8.757 eV per atom. Its space group is Pm, No. 6. The calculation puts the theoretical density at 7.98 g/cm³.

---

[3]
Density functional theory data (GGA-PBE) for Rb6HgSe4 after structural relaxation.

POSCAR file:
```
Rb6HgSe4
1.0
10.826 0.000 0.000
-5.413 9.376 0.000
0.000 0.000 8.303
Rb Hg Se
12 2 8
direct
0.054 0.527 0.000
0.148 0.297 0.325
0.148 0.852 0.325
0.297 0.148 0.825
0.473 0.527 0.000
0.473 0.946 0.000
0.527 0.054 0.500
0.527 0.473 0.500
0.703 0.852 0.325
0.852 0.148 0.825
0.852 0.703 0.825
0.946 0.473 0.500
0.333 0.667 0.622
0.667 0.333 0.122
0.192 0.384 0.722
0.192 0.808 0.722
0.333 0.667 0.286
0.384 0.192 0.222
0.616 0.808 0.722
0.667 0.333 0.786
0.808 0.192 0.222
0.808 0.616 0.222
```

The total energy is -2.805 eV per atom. Its space group is P6_3mc, No. 186. The calculation puts the theoretical density at 4.06 g/cm³.

---

[4]
Density functional theory data (GGA-PBE) for HoTlCdTe3 after structural relaxation.

POSCAR file:
```
HoTlCdTe3
1.0
8.703 0.000 0.000
0.000 4.715 0.000
0.000 0.000 18.610
Ho Tl Cd Te
4 4 4 12
direct
0.233 0.250 0.040
0.267 0.750 0.540
0.733 0.250 0.460
0.767 0.750 0.960
0.059 0.250 0.804
0.441 0.750 0.304
0.559 0.250 0.696
0.941 0.750 0.196
0.081 0.250 0.341
0.419 0.750 0.841
0.581 0.250 0.159
0.919 0.750 0.659
0.005 0.250 0.576
0.127 0.750 0.942
0.233 0.250 0.206
0.267 0.750 0.706
0.373 0.250 0.442
0.495 0.750 0.076
0.505 0.250 0.924
0.627 0.750 0.558
0.733 0.250 0.294
0.767 0.750 0.794
0.873 0.250 0.058
0.995 0.750 0.424
```

The total energy is -3.599 eV per atom. Its space group is Pnma, No. 62. The calculation puts the theoretical density at 7.52 g/cm³.

---

[5]
Density functional theory data (GGA-PBE) for Ba5Ta4O15 after structural relaxation.

POSCAR file:
```
Ba5Ta4O15
1.0
5.802 0.000 0.000
-2.901 5.025 0.000
0.000 0.000 11.801
Ba Ta O
5 4 15
direct
0.000 0.000 0.000
0.333 0.667 0.430
0.333 0.667 0.788
0.667 0.333 0.212
0.667 0.333 0.570
0.000 0.000 0.316
0.000 0.000 0.684
0.333 0.667 0.104
0.667 0.333 0.896
0.000 0.500 0.000
0.165 0.329 0.612
0.165 0.835 0.612
0.168 0.337 0.192
0.168 0.832 0.192
0.329 0.165 0.388
0.337 0.168 0.808
0.500 0.000 0.000
0.500 0.500 0.000
0.663 0.832 0.192
0.671 0.835 0.612
0.832 0.168 0.808
0.832 0.663 0.808
0.835 0.165 0.388
0.835 0.671 0.388
```

The total energy is -8.484 eV per atom. Its space group is P-3m1, No. 164. The calculation puts the theoretical density at 7.97 g/cm³.

---

[6]
Density functional theory data (GGA-PBE) for HoTm2Mg3Tl2Cd after structural relaxation.

POSCAR file:
```
HoTm2Mg3Tl2Cd
1.0
4.591 0.000 0.000
0.000 6.515 3.748
0.000 -6.515 3.748
Ho Tm Mg Tl Cd
1 2 3 2 1
direct
0.000 0.000 0.000
0.000 0.428 0.855
0.000 0.855 0.428
0.500 0.188 0.428
0.500 0.428 0.188
0.500 0.668 0.668
0.500 0.095 0.760
0.500 0.760 0.095
0.000 0.430 0.430
```

The total energy is -2.941 eV per atom. Its space group is Amm2, No. 38. The calculation puts the theoretical density at 8.13 g/cm³.

---

[7]
Density functional theory data (GGA-PBE) for NdMg after structural relaxation.

POSCAR file:
```
NdMg
1.0
6.898 0.000 0.000
0.000 6.132 0.000
0.000 0.000 5.570
Nd Mg
4 4
direct
0.143 0.077 0.250
0.143 0.423 0.750
0.857 0.577 0.250
0.857 0.923 0.750
0.372 0.594 0.250
0.372 0.906 0.750
0.628 0.094 0.250
0.628 0.406 0.750
```

The total energy is -3.152 eV per atom. Its space group is Pbcm, No. 57. The calculation puts the theoretical density at 4.75 g/cm³.

---

[8]
Density functional theory data (GGA-PBE) for Nd2NiSn after structural relaxation.

POSCAR file:
```
Nd2NiSn
1.0
4.407 0.000 0.000
0.000 4.182 0.000
0.000 0.000 11.466
Nd Ni Sn
4 2 2
direct
0.000 0.000 0.000
0.000 0.500 0.500
0.500 0.000 0.290
0.500 0.500 0.790
0.000 0.000 0.727
0.000 0.500 0.227
0.500 0.000 0.578
0.500 0.500 0.078
```

The total energy is -5.248 eV per atom. Its space group is Amm2, No. 38. The calculation puts the theoretical density at 7.32 g/cm³.

---

[9]
Density functional theory data (GGA-PBE) for Lu2Bi2O5 after structural relaxation.

POSCAR file:
```
Lu2Bi2O5
1.0
3.995 0.000 0.000
0.000 3.995 0.000
0.000 0.000 8.933
Lu Bi O
2 2 5
direct
0.000 0.000 0.249
0.000 0.000 0.751
0.500 0.500 0.000
0.500 0.500 0.500
0.000 0.000 0.000
0.000 0.500 0.337
0.000 0.500 0.663
0.500 0.000 0.337
0.500 0.000 0.663
```

The total energy is -6.827 eV per atom. Its space group is P4/mmm, No. 123. The calculation puts the theoretical density at 9.87 g/cm³.

---

[10]
Density functional theory data (GGA-PBE) for YErB2Ir2N2 after structural relaxation.

POSCAR file:
```
YErB2Ir2N2
1.0
3.739 0.000 0.000
0.000 3.739 0.000
0.000 0.000 7.420
Y Er B Ir N
1 1 2 2 2
direct
0.000 0.000 0.000
0.500 0.500 0.324
0.000 0.000 0.506
0.500 0.500 0.819
0.000 0.500 0.661
0.500 0.000 0.661
0.000 0.000 0.305
0.500 0.500 0.020
```

The total energy is -8.495 eV per atom. Its space group is P4mm, No. 99. The calculation puts the theoretical density at 11.05 g/cm³.

---

[11]
Density functional theory data (GGA-PBE) for Zr2TcOs after structural relaxation.

POSCAR file:
```
Zr2TcOs
1.0
4.645 0.000 0.000
0.000 4.645 0.000
0.000 0.000 3.279
Zr Tc Os
2 1 1
direct
0.000 0.500 0.000
0.500 0.000 0.000
0.000 0.000 0.500
0.500 0.500 0.500
```

The total energy is -10.142 eV per atom. The value obtained for the formation energy is -472 meV per atom. Its space group is P4/mmm, No. 123. The calculation puts the theoretical density at 11.05 g/cm³.

---

[12]
Density functional theory data (GGA-PBE) for K3Co after structural relaxation.

POSCAR file:
```
K3Co
1.0
7.908 0.000 0.000
-3.954 6.848 0.000
0.000 0.000 6.223
K Co
6 2
direct
0.178 0.356 0.250
0.178 0.822 0.250
0.356 0.178 0.750
0.644 0.822 0.250
0.822 0.178 0.750
0.822 0.644 0.750
0.333 0.667 0.750
0.667 0.333 0.250
```

The total energy is -1.776 eV per atom. Its space group is P6_3/mmc, No. 194. The calculation puts the theoretical density at 1.74 g/cm³.

---

[13]
Density functional theory data (GGA-PBE) for HoTlNO after structural relaxation.

POSCAR file:
```
HoTlNO
1.0
4.122 0.000 0.000
0.000 4.122 0.000
0.000 0.000 7.703
Ho Tl N O
2 2 2 2
direct
0.250 0.250 0.118
0.750 0.750 0.882
0.250 0.750 0.500
0.750 0.250 0.500
0.250 0.250 0.681
0.750 0.750 0.319
0.250 0.750 0.000
0.750 0.250 0.000
```

The total energy is -5.938 eV per atom. Its space group is P4/nmm, No. 129. The calculation puts the theoretical density at 10.13 g/cm³.

---

[14]
Density functional theory data (GGA-PBE) for RbDySeO after structural relaxation.

POSCAR file:
```
RbDySeO
1.0
3.799 0.000 0.000
-1.900 3.290 0.000
0.000 0.000 22.185
Rb Dy Se O
3 3 3 3
direct
0.000 0.000 0.000
0.333 0.667 0.667
0.667 0.333 0.333
0.000 0.000 0.479
0.333 0.667 0.146
0.667 0.333 0.812
0.000 0.000 0.226
0.333 0.667 0.893
0.667 0.333 0.559
0.000 0.000 0.770
0.333 0.667 0.436
0.667 0.333 0.103
```

The total energy is -5.576 eV per atom. Its space group is R3m, No. 160. The calculation puts the theoretical density at 6.16 g/cm³.

---

[15]
Density functional theory data (GGA-PBE) for LaPrGa4Ni2 after structural relaxation.

POSCAR file:
```
LaPrGa4Ni2
1.0
4.196 0.000 0.000
0.000 4.231 0.000
0.000 0.000 17.634
La Pr Ga Ni
2 2 8 4
direct
0.000 0.000 0.000
0.000 0.500 0.500
0.000 0.000 0.718
0.000 0.500 0.218
0.000 0.000 0.358
0.000 0.500 0.858
0.500 0.000 0.151
0.500 0.000 0.569
0.500 0.000 0.858
0.500 0.500 0.069
0.500 0.500 0.358
0.500 0.500 0.651
0.500 0.000 0.286
0.500 0.000 0.432
0.500 0.500 0.786
0.500 0.500 0.932
```

The total energy is -4.751 eV per atom. Its space group is Amm2, No. 38. The calculation puts the theoretical density at 7.17 g/cm³.

---

[16]
Density functional theory data (GGA-PBE) for BeZnCuHg after structural relaxation.

POSCAR file:
```
BeZnCuHg
1.0
6.089 0.000 0.000
0.000 6.089 0.000
0.000 0.000 6.089
Be Zn Cu Hg
4 4 4 4
direct
0.000 0.000 0.000
0.000 0.500 0.500
0.500 0.000 0.500
0.500 0.500 0.000
0.000 0.000 0.500
0.000 0.500 0.000
0.500 0.000 0.000
0.500 0.500 0.500
0.250 0.250 0.750
0.250 0.750 0.250
0.750 0.250 0.250
0.750 0.750 0.750
0.250 0.250 0.250
0.250 0.750 0.750
0.750 0.250 0.750
0.750 0.750 0.250
```

The total energy is -1.997 eV per atom. Its space group is F-43m, No. 216. The calculation puts the theoretical density at 9.96 g/cm³.

---

[17]
Density functional theory data (GGA-PBE) for Sc2Ta4In3N3 after structural relaxation.

POSCAR file:
```
Sc2Ta4In3N3
1.0
4.755 -2.761 0.000
4.755 2.761 0.000
-3.172 0.000 14.425
Sc Ta In N
4 8 6 6
direct
0.030 0.867 0.589
0.133 0.970 0.911
0.867 0.030 0.089
0.970 0.133 0.411
0.193 0.359 0.080
0.306 0.475 0.420
0.359 0.193 0.580
0.475 0.306 0.920
0.525 0.694 0.080
0.641 0.807 0.420
0.694 0.525 0.580
0.807 0.641 0.920
0.082 0.269 0.750
0.269 0.082 0.250
0.433 0.567 0.750
0.567 0.433 0.250
0.731 0.918 0.750
0.918 0.731 0.250
0.000 0.500 0.500
0.163 0.673 0.000
0.327 0.837 0.500
0.500 0.000 0.000
0.673 0.163 0.500
0.837 0.327 0.000
```

The total energy is -8.512 eV per atom. Its space group is C2/c, No. 15. The calculation puts the theoretical density at 10.53 g/cm³.

---

[18]
Density functional theory data (GGA-PBE) for PuTcIr after structural relaxation.

POSCAR file:
```
PuTcIr
1.0
6.312 0.000 0.000
0.000 6.312 0.000
0.000 0.000 6.312
Pu Tc Ir
4 4 4
direct
0.000 0.000 0.000
0.000 0.500 0.500
0.500 0.000 0.500
0.500 0.500 0.000
0.000 0.000 0.500
0.000 0.500 0.000
0.500 0.000 0.000
0.500 0.500 0.500
0.250 0.250 0.250
0.250 0.750 0.750
0.750 0.250 0.750
0.750 0.750 0.250
```

The total energy is -10.370 eV per atom. The value obtained for the formation energy is 744 meV per atom. Its space group is F-43m, No. 216. The calculation puts the theoretical density at 14.11 g/cm³.

---

[19]
Density functional theory data (GGA-PBE) for Dy2Er2TmLu2Ni2Te2 after structural relaxation.

POSCAR file:
```
Dy2Er2TmLu2Ni2Te2
1.0
-1.913 7.734 4.737
1.913 -7.734 4.737
1.913 7.734 -4.737
Dy Er Tm Lu Ni Te
2 2 1 2 2 2
direct
0.146 0.000 0.146
0.854 0.000 0.854
0.463 0.647 0.816
0.831 0.647 0.184
0.770 0.270 0.500
0.218 0.852 0.365
0.487 0.852 0.635
0.078 0.339 0.739
0.601 0.339 0.261
0.112 0.612 0.500
0.502 0.502 0.000
```

The total energy is -5.153 eV per atom. Its space group is Imm2, No. 44. The calculation puts the theoretical density at 9.19 g/cm³.

---

[20]
Density functional theory data (GGA-PBE) for Sc4Nb2As3N3 after structural relaxation.

POSCAR file:
```
Sc4Nb2As3N3
1.0
4.935 -2.891 0.000
4.935 2.891 0.000
-3.265 0.000 12.425
Sc Nb As N
8 4 6 6
direct
0.032 0.199 0.097
0.133 0.301 0.403
0.199 0.032 0.597
0.301 0.133 0.903
0.699 0.867 0.097
0.801 0.968 0.403
0.867 0.699 0.597
0.968 0.801 0.903
0.367 0.530 0.088
0.470 0.633 0.412
0.530 0.367 0.588
0.633 0.470 0.912
0.101 0.899 0.250
0.262 0.418 0.750
0.418 0.262 0.250
0.582 0.738 0.750
0.738 0.582 0.250
0.899 0.101 0.750
0.000 0.500 0.000
0.157 0.672 0.500
0.328 0.843 0.000
0.500 0.000 0.500
0.672 0.157 0.000
0.843 0.328 0.500
```

The total energy is -8.280 eV per atom. Its space group is C2/c, No. 15. The calculation puts the theoretical density at 5.93 g/cm³.